1.
MgIr2W, relaxed, DFT PBE; total DFT energy (no corrections) = -32.25 eV for the cell shown; N(E_F) = 3.06 states/eV per cell; magnetic moment = 0.00 Bohr magnetons per cell; symmetry = Cmmm, No. 65
1.0
2.7624 -0.0699 0.0000
-1.0565 2.5533 0.0000
0.0000 0.0000 8.9316
Ir Mg W
2 1 1
Direct
0.0000 0.0000 0.9978 Ir
0.0000 0.0000 0.5022 Ir
0.5000 0.5000 0.2500 Mg
0.5000 0.5000 0.7500 W

2.
MgIr2W, relaxed, DFT PBE; total DFT energy (no corrections) = -31.67 eV for the cell shown; N(E_F) = 4.12 states/eV per cell; magnetic moment = 0.00 Bohr magnetons per cell; symmetry = P4mm, No. 99
1.0
3.4433 0.0000 0.0000
0.0000 3.4433 0.0000
0.0000 0.0000 5.3902
Ir Mg W
2 1 1
Direct
0.0000 0.0000 0.9685 Ir
0.5000 0.5000 0.2811 Ir
0.0000 0.0000 0.4718 Mg
0.5000 0.5000 0.7786 W

3.
MgIrW4, relaxed, DFT PBE; total DFT energy (no corrections) = -59.63 eV for the cell shown; N(E_F) = 3.60 states/eV per cell; magnetic moment = 0.00 Bohr magnetons per cell; symmetry = F-43m, No. 216
1.0
-0.6985 3.6465 3.7256
-3.7874 3.6108 -0.5314
-4.2540 -0.1767 3.0882
Mg Ir W
1 1 4
Direct
0.0000 0.0000 0.0000 Mg
0.7500 0.7500 0.7500 Ir
0.8802 0.3733 0.3733 W
0.3733 0.3733 0.8802 W
0.3733 0.8802 0.3733 W
0.3733 0.3733 0.3733 W

4.
MgIr2W, relaxed, DFT PBE; total DFT energy (no corrections) = -32.83 eV for the cell shown; N(E_F) = 5.88 states/eV per cell; magnetic moment = 0.00 Bohr magnetons per cell; symmetry = P4/mmm, No. 123
1.0
-2.7360 -1.0052 -3.6027
3.6679 -1.5951 -2.3405
-0.4542 -2.6254 1.0774
Ir Mg W
2 1 1
Direct
0.0000 0.0000 0.0000 Ir
0.5000 0.5000 0.0000 Ir
0.5000 0.0000 0.5000 Mg
0.0000 0.5000 0.5000 W